## NaTmMgCd (PBE-GGA)

Data for a geometry-optimized NaTmMgCd structure.

a = 5.1544 Å, b = 5.1544 Å, c = 5.1544 Å
α = 60.00°, β = 60.00°, γ = 60.00°
Atoms (fractional coordinates):
Na  0.7500  0.7500  0.7500
Mg  0.5000  0.5000  0.5000
Tm  0.0000  0.0000  0.0000
Cd  0.2500  0.2500  0.2500

Summary:
Formation energy: -0.0026 eV per atom
Calculated volume: 96.8 Å³ per cell
DOS(E_F): 4.24 states/eV/f.u.
Total magnetization: 0.00 Bohr magnetons per cell
DFT total energy: -2.078 eV per atom